No. 1
The following is a DFT calculation (PBE) of a geometry-optimized K2Er2GeS6 structure.

The structure in POSCAR format:
```
K2Er2GeS6
1.0
3.354 -5.759 0.000
3.354 5.759 0.000
-2.289 0.000 7.556
K Er Ge S
2 2 1 6
Direct
0.171 0.829 0.000 K
0.829 0.171 0.000 K
0.332 0.668 0.500 Er
0.668 0.332 0.500 Er
0.000 0.000 0.500 Ge
0.067 0.375 0.691 S
0.235 0.235 0.316 S
0.375 0.067 0.691 S
0.625 0.933 0.309 S
0.765 0.765 0.684 S
0.933 0.625 0.309 S
```

---

No. 2
The following is a DFT calculation (PBE) of a geometry-optimized GaSbTe2Ir structure.

The structure in POSCAR format:
```
GaSbTe2Ir
1.0
5.537 0.000 0.000
0.000 5.537 0.000
0.000 0.000 4.948
Ga Sb Te Ir
1 1 2 1
Direct
0.000 0.000 0.000 Ga
0.500 0.500 0.000 Sb
0.000 0.500 0.500 Te
0.500 0.000 0.500 Te
0.500 0.500 0.500 Ir
```

---

Number 1: electronic total energy -5.07 eV per atom, E_form (uncorrected) -1.368 eV per atom. Number 2: electronic total energy -4.04 eV per atom, E_form (uncorrected) 0.414 eV per atom.